Al2Ag3P: relaxed, PBE-GGA.

Output
* DFT formation energy: 276 meV per atom

Geometry as extended XYZ:
```
6
Lattice="-3.6801 1.3927 3.6778 -1.3020 -0.0547 -5.2259 -1.2701 -4.3112 0.3616" Properties=species:S:1:pos:R:3 pbc="T T T"
P 0.0000 0.0000 0.0000
Al -2.0947 0.4277 -2.2580
Al -2.8874 0.9102 0.7099
Ag -1.2861 -2.1830 -2.4322
Ag -2.4751 -1.4593 2.0197
Ag -3.1261 -1.4866 -0.5933
```

---

Rb2AsPb: relaxed, PBE-GGA.

Output
* DFT formation energy: -276 meV per atom

Geometry as extended XYZ:
```
4
Lattice="-1.0372 4.2688 0.3331 -6.8988 -1.5769 -1.2587 3.1527 -1.9518 5.6981" Properties=species:S:1:pos:R:3 pbc="T T T"
Rb -4.2047 0.9232 4.2276
As -5.2241 -1.4040 1.7390
Rb -3.5864 1.3822 0.2573
Pb -0.5193 1.9246 2.8581
```